VASP calculation (PBE-GGA) on a relaxed structure of Cr2CuGe2.

Geometry as POSCAR:
```
Cr2CuGe2
1.0
-2.563 -3.690 5.126
6.084 0.041 3.072
-0.752 2.545 1.456
Ge Cu Cr
4 2 4
direct
0.645 0.145 0.000
0.145 0.355 0.000
0.355 0.855 0.000
0.855 0.645 0.000
0.500 0.500 0.000
0.000 0.000 0.000
0.654 0.846 0.500
0.154 0.654 0.500
0.346 0.154 0.500
0.846 0.346 0.500
```

calculated formation energy: 0.19 eV per atom
magnetization: 3.78 μB/f.u.
E above lowest polymorph: 0.000 eV per atom